Entry 1:
Tm3As4Pd7 | PBE-GGA | relaxed

Values from the calculation:
SG: C2/m (12)
Energy relative to the elements, eV per atom: -0.90

Cell: 8.074 8.074 9.585 Å, 124.43 124.43 29.48°
Element x y z (fractional)
Tm1 0.000 0.000 0.000
Tm2 0.322 0.322 0.327
Tm3 0.678 0.678 0.673
As1 0.106 0.106 0.823
As2 0.342 0.342 0.751
As3 0.658 0.658 0.249
As4 0.894 0.894 0.177
Pd1 0.000 0.000 0.500
Pd2 0.168 0.168 0.430
Pd3 0.306 0.306 0.975
Pd4 0.487 0.487 0.703
Pd5 0.513 0.513 0.297
Pd6 0.694 0.694 0.025
Pd7 0.832 0.832 0.570



Entry 2:
CeBe5Fe7 | PBE-GGA | relaxed

Values from the calculation:
SG: Imm2 (44)
Energy relative to the elements, eV per atom: -0.12

Cell: 6.082 6.082 6.082 Å, 136.94 98.96 96.53°
Element x y z (fractional)
Ce1 0.000 0.000 0.000
Be1 0.504 0.000 0.004
Be2 0.504 0.500 0.505
Be3 0.759 0.259 0.500
Be4 0.996 0.000 0.495
Be5 0.996 0.500 0.996
Fe1 0.219 0.500 0.718
Fe2 0.229 0.729 0.500
Fe3 0.353 0.998 0.355
Fe4 0.356 0.356 0.000
Fe5 0.638 0.638 0.000
Fe6 0.644 0.998 0.645
Fe7 0.782 0.500 0.282



Entry 3:
TbMnP2 | PBE-GGA | relaxed

Values from the calculation:
SG: R-3m (166)
Energy relative to the elements, eV per atom: -0.84

Cell: 5.275 5.275 5.275 Å, 43.53 43.53 43.53°
Element x y z (fractional)
Tb1 0.000 0.000 0.000
Mn1 0.500 0.500 0.500
P1 0.212 0.212 0.212
P2 0.788 0.788 0.788



Entry 4:
K4Au2BrCl | PBE-GGA | relaxed

Values from the calculation:
Raw formation energy, eV/atom: -1.047
SG: P2/m (10)

Cell: 8.111 4.675 8.284 Å, 90.00 109.00 90.00°
Element x y z (fractional)
K1 0.239 0.000 0.235
K2 0.247 0.500 0.761
K3 0.753 0.500 0.239
K4 0.761 0.000 0.765
Au1 0.000 0.000 0.500
Au2 0.500 0.500 0.500
Br1 0.500 0.000 0.000
Cl1 0.000 0.500 0.000



Entry 5:
RbTe2 | PBE-GGA | relaxed

Values from the calculation:
Raw formation energy, eV/atom: -0.590
SG: P4/mmm (123)

Cell: 4.533 4.533 6.007 Å, 90.00 90.00 90.00°
Element x y z (fractional)
Rb1 0.000 0.000 0.000
Te1 0.000 0.500 0.500
Te2 0.500 0.000 0.500



Entry 6:
KBa2Sr | PBE-GGA | relaxed

Values from the calculation:
SG: Fm-3m (225)
Energy relative to the elements, eV per atom: 0.10

Cell: 7.124 7.124 7.124 Å, 60.00 60.00 60.00°
Element x y z (fractional)
K1 0.000 0.000 0.000
Ba1 0.250 0.250 0.250
Ba2 0.750 0.750 0.750
Sr1 0.500 0.500 0.500



Entry 7:
PuHfFeIr | PBE-GGA | relaxed

Values from the calculation:
SG: F-43m (216)
Energy relative to the elements, eV per atom: -0.32

Cell: 4.680 4.680 4.680 Å, 60.00 60.00 60.00°
Element x y z (fractional)
Pu1 0.000 0.000 0.000
Hf1 0.500 0.500 0.500
Fe1 0.250 0.250 0.250
Ir1 0.750 0.750 0.750



Entry 8:
NdErNi | PBE-GGA | relaxed

Values from the calculation:
SG: I4mm (107)
Energy relative to the elements, eV per atom: -0.20

Cell: 6.727 6.727 6.727 Å, 150.33 150.33 42.45°
Element x y z (fractional)
Nd1 0.000 0.000 0.000
Er1 0.263 0.263 0.000
Ni1 0.647 0.647 0.000



Entry 9:
Ac2PaPN5 | PBE-GGA | relaxed

Values from the calculation:
Raw formation energy, eV/atom: -0.548
SG: P4/mbm (127)

Cell: 6.693 6.693 6.080 Å, 90.00 90.00 90.00°
Element x y z (fractional)
Ac1 0.174 0.326 0.000
Ac2 0.326 0.826 0.000
Ac3 0.674 0.174 0.000
Ac4 0.826 0.674 0.000
Pa1 0.000 0.000 0.500
Pa2 0.500 0.500 0.500
P1 0.000 0.500 0.500
P2 0.500 0.000 0.500
N1 0.000 0.000 0.000
N2 0.135 0.635 0.303
N3 0.135 0.635 0.697
N4 0.365 0.135 0.303
N5 0.365 0.135 0.697
N6 0.500 0.500 0.000
N7 0.635 0.865 0.303
N8 0.635 0.865 0.697
N9 0.865 0.365 0.303
N10 0.865 0.365 0.697



Entry 10:
Dy4TlAg3 | PBE-GGA | relaxed

Values from the calculation:
SG: Pmm2 (25)
Energy relative to the elements, eV per atom: -0.28

Cell: 3.707 4.855 11.370 Å, 90.00 90.00 90.00°
Element x y z (fractional)
Dy1 0.000 0.000 0.000
Dy2 0.000 0.500 0.278
Dy3 0.500 0.000 0.480
Dy4 0.500 0.500 0.791
Tl1 0.000 0.000 0.720
Ag1 0.000 0.500 0.552
Ag2 0.500 0.000 0.215
Ag3 0.500 0.500 0.061



Entry 11:
Ho2ErO | PBE-GGA | relaxed

Values from the calculation:
Raw formation energy, eV/atom: -1.351
SG: R-3m (166)

Cell: 8.827 8.827 8.827 Å, 22.87 22.87 22.87°
Element x y z (fractional)
Ho1 0.220 0.220 0.220
Ho2 0.780 0.780 0.780
Er1 0.000 0.000 0.000
O1 0.500 0.500 0.500



Entry 12:
Cu4MoPd5 | PBE-GGA | relaxed

Values from the calculation:
SG: P4/mmm (123)
Energy relative to the elements, eV per atom: -0.10

Cell: 2.785 2.785 18.162 Å, 90.00 90.00 90.00°
Element x y z (fractional)
Cu1 0.000 0.000 0.098
Cu2 0.000 0.000 0.293
Cu3 0.000 0.000 0.707
Cu4 0.000 0.000 0.902
Mo1 0.000 0.000 0.500
Pd1 0.500 0.500 0.000
Pd2 0.500 0.500 0.196
Pd3 0.500 0.500 0.393
Pd4 0.500 0.500 0.607
Pd5 0.500 0.500 0.804



Entry 13:
Tb2PmNd6Er | PBE-GGA | relaxed

Values from the calculation:
SG: C2/c (15)
Energy relative to the elements, eV per atom: 0.11

Cell: 8.975 8.975 9.712 Å, 93.83 93.83 117.65°
Element x y z (fractional)
Tb1 0.200 0.299 0.454
Tb2 0.299 0.200 0.954
Tb3 0.701 0.800 0.046
Tb4 0.800 0.701 0.546
Pm1 0.474 0.526 0.750
Pm2 0.526 0.474 0.250
Nd1 0.010 0.793 0.882
Nd2 0.065 0.510 0.688
Nd3 0.207 0.990 0.618
Nd4 0.258 0.618 0.055
Nd5 0.382 0.742 0.445
Nd6 0.490 0.935 0.812
Nd7 0.510 0.065 0.188
Nd8 0.618 0.258 0.555
Nd9 0.742 0.382 0.945
Nd10 0.793 0.010 0.382
Nd11 0.935 0.490 0.312
Nd12 0.990 0.207 0.118
Er1 0.089 0.911 0.250
Er2 0.911 0.089 0.750



Entry 14:
GdPuCuTc | PBE-GGA | relaxed

Values from the calculation:
SG: F-43m (216)
Energy relative to the elements, eV per atom: 0.07

Cell: 4.868 4.868 4.868 Å, 60.00 60.00 60.00°
Element x y z (fractional)
Gd1 0.000 0.000 0.000
Pu1 0.500 0.500 0.500
Cu1 0.250 0.250 0.250
Tc1 0.750 0.750 0.750



Entry 15:
Gd2GePb | PBE-GGA | relaxed

Values from the calculation:
SG: P4/mmm (123)
Energy relative to the elements, eV per atom: -0.55

Cell: 4.889 4.889 4.352 Å, 90.00 90.00 90.00°
Element x y z (fractional)
Gd1 0.000 0.500 0.000
Gd2 0.500 0.000 0.000
Ge1 0.000 0.000 0.500
Pb1 0.500 0.500 0.500



Entry 16:
Tb3Np3TiN8 | PBE-GGA | relaxed

Values from the calculation:
Raw formation energy, eV/atom: -1.296
SG: R-3m (166)

Cell: 6.827 6.827 6.827 Å, 59.13 59.13 59.13°
Element x y z (fractional)
Tb1 0.000 0.500 0.500
Tb2 0.500 0.000 0.500
Tb3 0.500 0.500 0.000
Np1 0.000 0.000 0.500
Np2 0.000 0.500 0.000
Np3 0.500 0.000 0.000
Ti1 0.500 0.500 0.500
N1 0.249 0.249 0.249
N2 0.259 0.725 0.725
N3 0.275 0.275 0.741
N4 0.275 0.741 0.275
N5 0.725 0.259 0.725
N6 0.725 0.725 0.259
N7 0.741 0.275 0.275
N8 0.751 0.751 0.751



Entry 17:
Na4TlO4 | PBE-GGA | relaxed

Values from the calculation:
Raw formation energy, eV/atom: -1.051
SG: C2/m (12)

Cell: 6.002 6.002 8.292 Å, 120.51 120.51 33.21°
Element x y z (fractional)
Na1 0.130 0.130 0.389
Na2 0.293 0.293 0.175
Na3 0.707 0.707 0.825
Na4 0.870 0.870 0.611
Tl1 0.500 0.500 0.000
O1 0.078 0.078 0.887
O2 0.293 0.293 0.715
O3 0.707 0.707 0.285
O4 0.922 0.922 0.113



Entry 18:
La2Si3Ge | PBE-GGA | relaxed

Values from the calculation:
Raw formation energy, eV/atom: -0.634
SG: Fmmm (69)

Cell: 8.399 8.374 6.114 Å, 68.84 68.41 42.75°
Element x y z (fractional)
La1 0.248 0.752 0.248
La2 0.250 0.250 0.250
La3 0.750 0.750 0.750
La4 0.752 0.248 0.752
Si1 0.160 0.675 0.840
Si2 0.162 0.162 0.838
Si3 0.325 0.840 0.675
Si4 0.675 0.160 0.325
Si5 0.838 0.838 0.162
Si6 0.840 0.325 0.160
Ge1 0.336 0.336 0.664
Ge2 0.664 0.664 0.336



Entry 19:
Pr2DyTm5 | PBE-GGA | relaxed

Values from the calculation:
SG: C2/c (15)
Energy relative to the elements, eV per atom: 0.18

Cell: 9.432 9.432 6.535 Å, 97.89 97.89 62.85°
Element x y z (fractional)
Pr1 0.166 0.675 0.883
Pr2 0.325 0.834 0.617
Pr3 0.675 0.166 0.383
Pr4 0.834 0.325 0.117
Dy1 0.000 0.500 0.000
Dy2 0.500 0.000 0.500
Tm1 0.013 0.190 0.649
Tm2 0.190 0.013 0.149
Tm3 0.214 0.389 0.473
Tm4 0.389 0.214 0.973
Tm5 0.440 0.560 0.250
Tm6 0.560 0.440 0.750
Tm7 0.611 0.786 0.027
Tm8 0.786 0.611 0.527
Tm9 0.810 0.987 0.851
Tm10 0.987 0.810 0.351



Entry 20:
RbTlPbCl4 | PBE-GGA | relaxed

Values from the calculation:
Raw formation energy, eV/atom: -1.315
SG: I4mm (107)

Cell: 9.152 9.152 9.152 Å, 143.81 143.81 52.11°
Element x y z (fractional)
Rb1 0.000 0.000 0.000
Tl1 0.718 0.718 0.000
Pb1 0.363 0.363 0.000
Cl1 0.194 0.194 0.000
Cl2 0.370 0.870 0.500
Cl3 0.545 0.545 0.000
Cl4 0.870 0.370 0.500



Entry 21:
La2ZnCo | PBE-GGA | relaxed

Values from the calculation:
SG: R3m (160)
Energy relative to the elements, eV per atom: -0.14

Cell: 7.246 7.246 7.246 Å, 34.18 34.18 34.18°
Element x y z (fractional)
La1 0.000 0.000 0.000
La2 0.178 0.178 0.178
Zn1 0.422 0.422 0.422
Co1 0.758 0.758 0.758



Entry 22:
BaCaW | PBE-GGA | relaxed

Values from the calculation:
SG: P-6m2 (187)
Energy relative to the elements, eV per atom: 1.24

Cell: 5.618 5.618 2.999 Å, 90.00 90.00 120.00°
Element x y z (fractional)
Ba1 0.000 0.000 0.000
Ca1 0.667 0.333 0.000
W1 0.333 0.667 0.500



Entry 23:
Zr3Tl3CoS8 | PBE-GGA | relaxed

Values from the calculation:
Raw formation energy, eV/atom: -0.983
SG: C2/m (12)

Cell: 7.362 7.362 8.788 Å, 114.74 114.74 60.04°
Element x y z (fractional)
Zr1 0.000 0.000 0.000
Zr2 0.000 0.500 0.000
Zr3 0.500 0.000 0.000
Tl1 0.000 0.500 0.500
Tl2 0.500 0.000 0.500
Tl3 0.500 0.500 0.500
Co1 0.500 0.500 0.000
S1 0.232 0.232 0.196
S2 0.236 0.725 0.186
S3 0.275 0.275 0.814
S4 0.275 0.764 0.814
S5 0.725 0.236 0.186
S6 0.725 0.725 0.186
S7 0.764 0.275 0.814
S8 0.768 0.768 0.804